# 1
Computed, not measured: crystalline Ni2Ge at its relaxed geometry at the GGA-PBE level of DFT.

Lattice parameters (Å, degrees): 4.774 4.774 4.774 60.00 60.00 60.00
Positions (direct):
Ni: 0.125 0.625 0.625
Ni: 0.625 0.625 0.125
Ge: 0.000 0.000 0.000
Ni: 0.625 0.625 0.625
Ge: 0.250 0.250 0.250
Ni: 0.625 0.125 0.625

Properties
As for the total energy: -5.2139 eV/atom. Its space group is Fd-3m, No. 227. The crystal system is cubic.

# 2
Computed, not measured: crystalline Ni3Ge at its relaxed geometry at the GGA-PBE level of DFT.

Lattice parameters (Å, degrees): 4.287 4.287 4.287 129.49 129.49 74.23
Positions (direct):
Ni: 0.750 0.250 0.500
Ge: 0.000 0.000 0.000
Ni: 0.500 0.500 0.000
Ni: 0.250 0.750 0.500

Properties
As for the total energy: -5.5898 eV/atom. Its space group is I4/mmm, No. 139. The crystal system is tetragonal.

# 3
Computed, not measured: crystalline NiGe3 at its relaxed geometry at the GGA-PBE level of DFT.

Lattice parameters (Å, degrees): 4.526 4.526 4.526 60.00 60.00 60.00
Positions (direct):
Ge: 0.000 0.000 0.000
Ge: 0.500 0.500 0.500
Ni: 0.750 0.750 0.750
Ge: 0.250 0.250 0.250

Properties
As for the total energy: -4.5812 eV/atom. Its space group is Fm-3m, No. 225. The crystal system is cubic.

# 4
Computed, not measured: crystalline Ni7Ge2 at its relaxed geometry at the GGA-PBE level of DFT.

Lattice parameters (Å, degrees): 2.601 2.601 30.386 90.00 90.00 120.00
Last column: magnetic moment on the atom in μB.
Positions (direct):
Ni: 0.000 0.000 0.306  0.13
Ni: 0.000 0.000 0.694  0.13
Ni: 0.667 0.333 0.565  0.67
Ge: 0.667 0.333 0.761  0.00
Ni: 0.667 0.333 0.371  0.58
Ni: 0.333 0.667 0.629  0.58
Ni: 0.000 0.000 0.500  0.68
Ge: 0.333 0.667 0.239  0.00
Ni: 0.333 0.667 0.435  0.67

Properties
As for the total energy: -5.2262 eV/atom. Its space group is P-3m1, No. 164. The crystal system is trigonal.

# 5
Computed, not measured: crystalline Ni8Ge at its relaxed geometry at the GGA-PBE level of DFT.

Lattice parameters (Å, degrees): 4.270 4.270 28.365 90.16 90.16 48.49
Last column: magnetic moment on the atom in μB.
Positions (direct):
Ni: 0.849 0.849 0.152  0.36
Ni: 0.250 0.250 0.211  0.04
Ni: 0.749 0.749 0.069  0.64
Ni: 0.152 0.152 0.125  0.53
Ni: 0.950 0.950 0.958  0.63
Ni: 0.848 0.848 0.875  0.53
Ni: 0.449 0.449 0.818  0.12
Ni: 0.750 0.750 0.789  0.04
Ni: 0.551 0.551 0.182  0.12
Ni: 0.050 0.050 0.042  0.63
Ni: 0.151 0.151 0.848  0.36
Ni: 0.350 0.350 0.014  0.63
Ni: 0.650 0.650 0.986  0.62
Ni: 0.251 0.251 0.931  0.64
Ge: 0.949 0.949 0.235  -0.02
Ni: 0.450 0.450 0.097  0.57
Ge: 0.051 0.051 0.765  -0.02
Ni: 0.550 0.550 0.903  0.57

Properties
As for the total energy: -5.4481 eV/atom. Its space group is C2/m, No. 12. The crystal system is monoclinic.

# 6
Computed, not measured: crystalline Ni9Ge at its relaxed geometry at the GGA-PBE level of DFT.

Lattice parameters (Å, degrees): 2.530 2.530 47.381 90.00 90.00 90.00
Last column: magnetic moment on the atom in μB.
Positions (direct):
Ge: 0.000 0.500 0.153  0.00
Ni: 0.000 0.500 0.518  0.64
Ge: 0.500 0.000 0.847  0.00
Ni: 0.500 0.000 0.554  0.67
Ni: 0.000 0.500 0.446  0.67
Ni: 0.500 0.000 0.409  0.62
Ni: 0.500 0.000 0.699  -0.50
Ni: 0.000 0.500 0.663  -0.46
Ni: 0.000 0.500 0.807  0.21
Ni: 0.500 0.000 0.627  0.13
Ni: 0.500 0.000 0.264  0.26
Ni: 0.000 0.500 0.301  -0.50
Ni: 0.500 0.000 0.337  -0.46
Ni: 0.000 0.500 0.229  0.42
Ni: 0.500 0.000 0.193  0.21
Ni: 0.000 0.500 0.736  0.26
Ni: 0.500 0.000 0.771  0.42
Ni: 0.500 0.000 0.482  0.64
Ni: 0.000 0.500 0.373  0.13
Ni: 0.000 0.500 0.591  0.62

Properties
Its space group is P4/nmm, No. 129. The excess energy over the best structure of this formula in the dataset comes out at 0.048 eV/atom. The crystal system is tetragonal.

# 7
Computed, not measured: crystalline Ni3Ge2 at its relaxed geometry at the GGA-PBE level of DFT.

Lattice parameters (Å, degrees): 6.292 6.292 5.410 125.55 54.45 120.00
Positions (direct):
Ge: 0.106 0.894 0.683
Ge: 0.606 0.394 0.183
Ni: 0.490 0.250 0.750
Ni: 0.250 0.010 0.250
Ge: 0.394 0.606 0.817
Ni: 0.510 0.750 0.250
Ni: 0.990 0.490 0.250
Ni: 0.010 0.510 0.750
Ge: 0.894 0.106 0.317
Ni: 0.750 0.990 0.750

Properties
As for the total energy: -5.2613 eV/atom. Its space group is R-3c, No. 167. The crystal system is trigonal.

# 8
Computed, not measured: crystalline Ni15Ge at its relaxed geometry at the GGA-PBE level of DFT.

Lattice parameters (Å, degrees): 7.120 3.564 40.317 90.00 90.00 90.00
Last column: magnetic moment on the atom in μB.
Positions (direct):
Ni: 0.625 0.000 0.521  0.60
Ni: 0.621 0.500 0.222  -0.36
Ni: 0.375 0.500 0.521  0.62
Ni: 0.875 0.500 0.691  -0.61
Ni: 0.877 0.000 0.225  -0.39
Ni: 0.126 0.500 0.308  -0.63
Ni: 0.129 0.000 0.267  -0.76
Ni: 0.875 0.500 0.437  0.65
Ni: 0.872 0.500 0.267  -0.75
Ni: 0.125 0.000 0.351  -0.02
Ge: 0.663 0.000 0.179  0.01
Ni: 0.875 0.000 0.649  -0.42
Ni: 0.379 0.000 0.222  -0.37
Ni: 0.875 0.000 0.394  0.59
Ni: 0.125 0.000 0.437  0.66
Ni: 0.875 0.500 0.606  0.36
Ni: 0.123 0.000 0.775  -0.24
Ni: 0.625 0.500 0.564  0.60
Ni: 0.379 0.500 0.778  -0.20
Ni: 0.375 0.500 0.606  0.32
Ni: 0.128 0.500 0.734  -0.58
Ni: 0.882 0.000 0.819  0.03
Ni: 0.875 0.000 0.308  -0.62
Ni: 0.625 0.000 0.691  -0.62
Ni: 0.118 0.000 0.181  -0.11
Ni: 0.875 0.000 0.479  0.61
Ni: 0.375 0.000 0.564  0.59
Ni: 0.125 0.500 0.479  0.61
Ni: 0.625 0.000 0.436  0.65
Ni: 0.377 0.000 0.734  -0.52
Ni: 0.871 0.000 0.734  -0.56
Ni: 0.877 0.500 0.775  -0.23
Ni: 0.882 0.500 0.181  -0.10
Ni: 0.125 0.500 0.394  0.59
Ni: 0.125 0.500 0.564  0.58
Ni: 0.125 0.500 0.649  -0.42
Ni: 0.875 0.500 0.351  -0.01
Ni: 0.625 0.500 0.394  0.58
Ni: 0.623 0.000 0.266  -0.73
Ge: 0.337 0.000 0.821  0.01
Ni: 0.875 0.000 0.564  0.58
Ni: 0.375 0.000 0.479  0.62
Ni: 0.123 0.500 0.225  -0.41
Ni: 0.377 0.500 0.266  -0.74
Ni: 0.625 0.000 0.351  -0.07
Ni: 0.625 0.500 0.649  -0.44
Ni: 0.125 0.000 0.691  -0.60
Ni: 0.625 0.000 0.606  0.34
Ni: 0.376 0.000 0.309  -0.70
Ni: 0.125 0.000 0.606  0.34
Ni: 0.375 0.500 0.351  -0.10
Ni: 0.625 0.500 0.479  0.61
Ni: 0.375 0.500 0.436  0.65
Ni: 0.375 0.000 0.394  0.59
Ni: 0.125 0.000 0.521  0.61
Ni: 0.624 0.500 0.309  -0.68
Ge: 0.663 0.500 0.821  0.01
Ni: 0.623 0.500 0.734  -0.51
Ni: 0.375 0.000 0.649  -0.47
Ni: 0.621 0.000 0.778  -0.20
Ge: 0.337 0.500 0.179  0.01
Ni: 0.875 0.500 0.521  0.60
Ni: 0.376 0.500 0.691  -0.62
Ni: 0.118 0.500 0.819  0.03

Properties
Its space group is Pma2, No. 28. The excess energy over the best structure of this formula in the dataset comes out at 0.020 eV/atom. The crystal system is orthorhombic.

# 9
Computed, not measured: crystalline Ni15Ge at its relaxed geometry at the GGA-PBE level of DFT.

Lattice parameters (Å, degrees): 4.948 3.517 33.662 90.00 90.00 90.00
Last column: magnetic moment on the atom in μB.
Positions (direct):
Ni: 0.374 0.500 0.666  -0.41
Ni: 0.626 0.000 0.334  0.60
Ge: 0.125 0.000 0.777  -0.01
Ni: 0.624 0.000 0.259  0.30
Ni: 0.875 0.500 0.445  0.57
Ni: 0.125 0.000 0.555  0.12
Ni: 0.876 0.500 0.666  -0.26
Ni: 0.375 0.500 0.297  0.57
Ni: 0.875 0.500 0.592  0.23
Ni: 0.625 0.000 0.408  0.65
Ni: 0.875 0.500 0.518  -0.42
Ni: 0.625 0.000 0.777  0.18
Ni: 0.375 0.500 0.519  -0.52
Ni: 0.125 0.000 0.482  -0.10
Ni: 0.125 0.000 0.703  -0.03
Ni: 0.125 0.000 0.408  0.65
Ni: 0.874 0.500 0.741  0.14
Ni: 0.875 0.500 0.371  0.64
Ni: 0.625 0.000 0.703  -0.22
Ni: 0.124 0.000 0.334  0.60
Ni: 0.875 0.500 0.297  0.45
Ni: 0.375 0.500 0.223  0.28
Ni: 0.625 0.000 0.629  -0.28
Ni: 0.125 0.000 0.629  0.36
Ni: 0.376 0.500 0.741  0.16
Ni: 0.625 0.000 0.481  -0.01
Ni: 0.375 0.500 0.371  0.66
Ni: 0.126 0.000 0.259  0.30
Ni: 0.375 0.500 0.592  0.20
Ni: 0.625 0.000 0.555  -0.24
Ni: 0.375 0.500 0.445  0.55
Ge: 0.875 0.500 0.223  -0.02

Properties
Its space group is P2_1/m, No. 11. The excess energy over the best structure of this formula in the dataset comes out at 0.045 eV/atom. The crystal system is monoclinic.

# 10
Computed, not measured: crystalline Ni7Ge at its relaxed geometry at the GGA-PBE level of DFT.

Lattice parameters (Å, degrees): 2.546 2.546 39.880 90.00 90.00 90.00
Last column: magnetic moment on the atom in μB.
Positions (direct):
Ni: 0.000 0.500 0.606  0.63
Ni: 0.000 0.500 0.352  0.65
Ni: 0.000 0.500 0.521  0.63
Ge: 0.000 0.500 0.178  -0.01
Ni: 0.500 0.000 0.224  0.06
Ni: 0.500 0.000 0.733  0.48
Ni: 0.500 0.000 0.563  0.62
Ni: 0.000 0.500 0.690  0.65
Ni: 0.000 0.500 0.267  0.48
Ni: 0.500 0.000 0.394  0.63
Ni: 0.500 0.000 0.310  0.65
Ni: 0.500 0.000 0.648  0.65
Ni: 0.000 0.500 0.776  0.06
Ge: 0.500 0.000 0.822  -0.01
Ni: 0.000 0.500 0.437  0.62
Ni: 0.500 0.000 0.479  0.63

Properties
Its space group is P4/nmm, No. 129. The excess energy over the best structure of this formula in the dataset comes out at 0.031 eV/atom. The crystal system is tetragonal.

# 11
Computed, not measured: crystalline Ni9Ge at its relaxed geometry at the GGA-PBE level of DFT.

Lattice parameters (Å, degrees): 2.506 3.517 38.437 90.00 90.00 90.00
Last column: magnetic moment on the atom in μB.
Positions (direct):
Ni: 0.000 0.000 0.759  0.35
Ni: 0.000 0.000 0.274  0.11
Ni: 0.500 0.500 0.920  0.63
Ni: 0.500 0.500 0.984  0.63
Ni: 0.500 0.500 0.726  0.11
Ni: 0.000 0.000 0.952  0.65
Ni: 0.000 0.000 0.823  0.63
Ni: 0.500 0.500 0.048  0.65
Ge: 0.500 0.500 0.306  0.00
Ge: 0.000 0.000 0.694  0.00
Ni: 0.500 0.500 0.855  0.63
Ni: 0.500 0.500 0.241  0.35
Ni: 0.500 0.500 0.112  0.64
Ni: 0.000 0.000 0.209  0.60
Ni: 0.500 0.500 0.791  0.60
Ni: 0.000 0.000 0.888  0.64
Ni: 0.000 0.000 0.145  0.63
Ni: 0.000 0.000 0.016  0.63
Ni: 0.000 0.000 0.080  0.63
Ni: 0.500 0.500 0.177  0.63

Properties
Its space group is Pmmn, No. 59. The excess energy over the best structure of this formula in the dataset comes out at 0.000 eV/atom. The crystal system is orthorhombic.

# 12
Computed, not measured: crystalline Ni3Ge2 at its relaxed geometry at the GGA-PBE level of DFT.

Lattice parameters (Å, degrees): 4.995 3.836 6.734 90.00 90.00 90.00
Positions (direct):
Ni: 0.250 0.500 0.670
Ni: 0.500 0.000 0.500
Ge: 0.750 0.000 0.129
Ni: 0.500 0.500 0.000
Ge: 0.250 0.000 0.871
Ni: 0.000 0.500 0.000
Ni: 0.750 0.500 0.330
Ge: 0.750 0.500 0.682
Ge: 0.250 0.500 0.318
Ni: 0.000 0.000 0.500

Properties
As for the total energy: -5.4988 eV/atom. Its space group is Pmma, No. 51. The crystal system is orthorhombic.

# 13
Computed, not measured: crystalline Ni15Ge at its relaxed geometry at the GGA-PBE level of DFT.

Lattice parameters (Å, degrees): 7.016 2.499 33.625 90.00 90.00 90.00
Last column: magnetic moment on the atom in μB.
Positions (direct):
Ni: 0.375 0.500 0.408  -0.37
Ni: 0.375 0.500 0.703  0.58
Ni: 0.625 0.000 0.370  0.36
Ge: 0.125 0.000 0.222  -0.02
Ni: 0.626 0.000 0.667  0.42
Ni: 0.375 0.500 0.775  0.64
Ni: 0.124 0.000 0.667  0.40
Ge: 0.875 0.500 0.778  -0.02
Ni: 0.875 0.500 0.408  -0.40
Ni: 0.125 0.000 0.445  -0.63
Ni: 0.875 0.500 0.703  0.48
Ni: 0.375 0.500 0.555  -0.65
Ni: 0.875 0.500 0.629  -0.45
Ni: 0.375 0.500 0.481  -0.64
Ni: 0.625 0.000 0.592  -0.65
Ni: 0.625 0.000 0.297  0.63
Ni: 0.125 0.000 0.297  0.48
Ni: 0.625 0.000 0.742  0.28
Ni: 0.125 0.000 0.371  0.39
Ni: 0.875 0.500 0.482  -0.65
Ni: 0.875 0.500 0.258  0.32
Ni: 0.625 0.000 0.225  0.70
Ni: 0.875 0.500 0.555  -0.66
Ni: 0.876 0.500 0.333  0.58
Ni: 0.125 0.000 0.742  0.28
Ni: 0.375 0.500 0.630  -0.29
Ni: 0.625 0.000 0.445  -0.61
Ni: 0.125 0.000 0.592  -0.64
Ni: 0.374 0.500 0.333  0.58
Ni: 0.375 0.500 0.258  0.32
Ni: 0.125 0.000 0.518  -0.63
Ni: 0.625 0.000 0.519  -0.63

Properties
Its space group is P2_1/m, No. 11. The excess energy over the best structure of this formula in the dataset comes out at 0.076 eV/atom. The crystal system is monoclinic.

# 14
Computed, not measured: crystalline Ni10Ge at its relaxed geometry at the GGA-PBE level of DFT.

Lattice parameters (Å, degrees): 4.280 4.280 30.168 90.10 90.10 48.45
Last column: magnetic moment on the atom in μB.
Positions (direct):
Ni: 0.949 0.949 0.830  0.52
Ni: 0.850 0.850 0.013  0.63
Ni: 0.451 0.451 0.961  0.62
Ni: 0.949 0.949 0.092  0.63
Ge: 0.151 0.151 0.727  -0.02
Ni: 0.751 0.751 0.934  0.63
Ni: 0.150 0.150 0.251  0.02
Ni: 0.549 0.549 0.776  0.12
Ge: 0.849 0.849 0.273  -0.02
Ni: 0.650 0.650 0.856  0.56
Ni: 0.451 0.451 0.224  0.12
Ni: 0.150 0.150 0.987  0.63
Ni: 0.252 0.252 0.804  0.35
Ni: 0.748 0.748 0.196  0.35
Ni: 0.350 0.350 0.144  0.56
Ni: 0.051 0.051 0.170  0.52
Ni: 0.352 0.352 0.883  0.62
Ni: 0.549 0.549 0.039  0.62
Ni: 0.850 0.850 0.749  0.02
Ni: 0.051 0.051 0.908  0.63
Ni: 0.249 0.249 0.066  0.63
Ni: 0.648 0.648 0.117  0.62

Properties
As for the total energy: -5.4693 eV/atom. Its space group is C2/m, No. 12. The crystal system is monoclinic.

# 15
Computed, not measured: crystalline NiGe3 at its relaxed geometry at the GGA-PBE level of DFT.

Lattice parameters (Å, degrees): 6.608 6.608 3.632 90.00 90.00 120.00
Positions (direct):
Ge: 0.370 0.185 0.750
Ni: 0.667 0.333 0.250
Ge: 0.185 0.370 0.250
Ge: 0.630 0.815 0.250
Ge: 0.815 0.185 0.750
Ge: 0.185 0.815 0.250
Ge: 0.815 0.630 0.750
Ni: 0.333 0.667 0.750

Properties
As for the total energy: -4.6604 eV/atom. Its space group is P6_3/mmc, No. 194. The crystal system is hexagonal.

# 16
Computed, not measured: crystalline Ni7Ge at its relaxed geometry at the GGA-PBE level of DFT.

Lattice parameters (Å, degrees): 2.521 3.523 33.527 90.00 90.00 90.00
Last column: magnetic moment on the atom in μB.
Positions (direct):
Ni: 0.000 0.000 0.518  0.64
Ni: 0.500 0.500 0.408  0.64
Ni: 0.500 0.500 0.334  0.60
Ni: 0.000 0.000 0.371  0.64
Ni: 0.000 0.000 0.445  0.65
Ge: 0.000 0.000 0.223  0.00
Ni: 0.000 0.000 0.666  0.59
Ni: 0.500 0.500 0.629  0.64
Ge: 0.500 0.500 0.777  0.00
Ni: 0.500 0.500 0.259  0.11
Ni: 0.000 0.000 0.741  0.11
Ni: 0.000 0.000 0.592  0.63
Ni: 0.000 0.000 0.297  0.35
Ni: 0.500 0.500 0.555  0.64
Ni: 0.500 0.500 0.482  0.64
Ni: 0.500 0.500 0.703  0.34

Properties
Its space group is Pmmn, No. 59. The excess energy over the best structure of this formula in the dataset comes out at 0.000 eV/atom. The crystal system is orthorhombic.

# 17
Computed, not measured: crystalline Ni3Ge at its relaxed geometry at the GGA-PBE level of DFT.

Lattice parameters (Å, degrees): 3.580 3.580 3.580 90.00 90.00 90.00
Positions (direct):
Ni: 0.500 0.500 0.000
Ni: 0.000 0.500 0.500
Ni: 0.500 0.000 0.500
Ge: 0.000 0.000 0.000

Properties
As for the total energy: -5.6313 eV/atom. Its space group is Pm-3m, No. 221. The crystal system is cubic.